4
Lattice="0.000 3.333 3.333 3.333 0.000 3.333 3.333 3.333 0.000" Properties=species:S:1:pos:R:3 comment="PBE-GGA YGaAgRh, relaxed" energy_ev_per_atom=-5.3728 formation_energy_ev_per_atom=-0.45 magnetic_moment_mub_per_atom=0.00 pbc="T T T"
Y 0.000 0.000 0.000
Ga 3.333 3.333 3.333
Ag 1.666 1.666 1.666
Rh 4.999 4.999 4.999

=====

9
Lattice="3.634 0.000 0.000 -1.817 3.147 0.000 0.000 0.000 26.884" Properties=species:S:1:pos:R:3 comment="PBE-GGA Pr4Y2Ho3, relaxed" energy_ev_per_atom=-5.0303 relative_energy_kj_per_mol_atoms=3.3 formation_energy_ev_per_atom=0.06 magnetic_moment_mub_per_atom=0.06 pbc="T T T"
Pr 0.000 0.000 0.000
Pr 0.000 0.000 5.794
Pr 0.000 2.098 8.949
Pr 0.000 2.098 14.794
Y 0.000 0.000 17.773
Y 0.000 0.000 23.359
Ho 0.000 0.000 11.855
Ho 0.000 2.098 2.855
Ho 0.000 2.098 20.590

=====

15
Lattice="3.529 2.038 6.011 -3.529 2.038 6.011 0.000 -4.075 6.011" Properties=species:S:1:pos:R:3 comment="PBE-GGA Sr3NpU3N8, relaxed" energy_ev_per_atom=-9.0144 raw_formation_energy_kj_per_mol_atoms=-107.8 magnetic_moment_mub_per_atom=0.47 pbc="T T T"
Sr -1.765 -1.019 6.011
Sr -1.765 1.019 12.022
Sr 0.000 2.038 6.011
Np 0.000 0.000 9.016
U -3.529 0.000 9.016
U -1.765 1.019 3.005
U 1.765 1.019 3.005
N -1.751 -1.011 10.063
N 0.000 0.000 4.222
N 0.000 -2.021 7.970
N -1.751 1.011 7.970
N 1.751 -1.011 10.063
N 0.000 2.021 10.063
N 0.000 0.000 13.811
N 1.751 1.011 7.970

=====

4
Lattice="0.000 3.658 3.658 3.658 0.000 3.658 3.658 3.658 0.000" Properties=species:S:1:pos:R:3 comment="PBE-GGA CaDySbPd, relaxed" energy_ev_per_atom=-4.7976 raw_formation_energy_kj_per_mol_atoms=-78.9 magnetic_moment_mub_per_atom=0.00 pbc="T T T"
Ca 0.000 0.000 0.000
Dy 3.658 3.658 3.658
Sb 5.487 5.487 5.487
Pd 1.829 1.829 1.829

=====

5
Lattice="-2.044 2.044 5.024 2.044 -2.044 5.024 2.044 2.044 -5.024" Properties=species:S:1:pos:R:3 comment="PBE-GGA ErCoGe2Ru, relaxed" energy_ev_per_atom=-6.6453 formation_energy_ev_per_atom=-0.61 magnetic_moment_mub_per_atom=0.00 pbc="T T T"
Er 0.000 0.000 0.000
Co 0.000 2.044 2.512
Ge 0.000 0.000 3.753
Ge 0.000 0.000 6.295
Ru 2.044 0.000 2.512

=====

| no. | Fermi-level density of states (states/eV per atom) |
| --- | --- |
| 1 | 0.745 |
| 2 | 1.815 |
| 3 | 1.412 |
| 4 | 0.332 |
| 5 | 0.482 |